This record from the Alexandria database describes CsCu2ReF8 after structural relaxation. The functional is GGA-PBE.

a = 5.6198 Å, b = 5.6198 Å, c = 9.1786 Å
α = 72.17°, β = 72.17°, γ = 60.00°
Closest atoms and distances in Å follow each position.
Sites, in units of the cell vectors:
Cs1 0.0000 0.0000 0.0000  6 F 3.25
Cu1 0.7400 0.7400 0.7801  1 F 1.83
Cu2 0.2600 0.2600 0.2199  1 F 1.83
Re1 0.5000 0.5000 0.5000  6 F 1.96
F1 0.6688 0.6688 0.9937  1 Cu 1.83
F2 0.3312 0.3312 0.0063  1 Cu 1.83
F3 0.3835 0.3828 0.3647  1 Re 1.96, 1 Cu 2.08
F4 0.6172 0.6165 0.6353  1 Re 1.96, 1 Cu 2.08
F5 0.1310 0.6172 0.6353  1 Re 1.96, 1 Cu 2.08
F6 0.3828 0.8690 0.3647  1 Re 1.96, 1 Cu 2.08
F7 0.8690 0.3835 0.3647  1 Re 1.96, 1 Cu 2.08
F8 0.6165 0.1310 0.6353  1 Re 1.96, 1 Cu 2.08

Output
The uncorrected formation energy comes out at -21.73 eV/f.u.

---

This record from the Alexandria database describes ZnIrS2Cl after structural relaxation. The functional is GGA-PBE.

a = 4.6480 Å, b = 4.6480 Å, c = 4.5618 Å
α = 90.00°, β = 90.00°, γ = 90.00°
Closest atoms and distances in Å follow each position.
Sites, in units of the cell vectors:
Zn1 0.0000 0.0000 0.0000  2 Cl 2.28, 4 S 2.32
Ir1 0.5000 0.5000 0.5000  8 S 3.26, 4 Cl 3.29
S1 0.0000 0.5000 0.0000  2 Zn 2.32
S2 0.5000 0.0000 0.0000  2 Zn 2.32
Cl1 0.0000 0.0000 0.5000  2 Zn 2.28

Output
The uncorrected formation energy comes out at 5.31 eV/f.u. Its polymorph energy (0 for the lowest one) is 3.625 eV/f.u.

---

This record from the Alexandria database describes Cr2Ag after structural relaxation. The functional is GGA-PBE.

a = 7.8871 Å, b = 7.8871 Å, c = 2.9585 Å
α = 90.00°, β = 90.00°, γ = 120.00°
Closest atoms and distances in Å follow each position.
Sites, in units of the cell vectors:
Cr1 0.0000 0.2972 0.0000  4 Ag 2.77-2.78, 8 Cr 2.96-3.05
Cr2 0.0000 0.6323 0.5000  5 Ag 2.90-2.91, 8 Cr 2.96-3.05
Cr3 0.2972 0.0000 0.0000  4 Ag 2.77-2.78, 8 Cr 2.96-3.05
Cr4 0.7028 0.7028 0.0000  4 Ag 2.77-2.78, 8 Cr 2.96-3.05
Cr5 0.6323 0.0000 0.5000  5 Ag 2.90-2.91, 8 Cr 2.96-3.05
Cr6 0.3677 0.3677 0.5000  5 Ag 2.90-2.91, 8 Cr 2.96-3.05
Ag1 0.0000 0.0000 0.5000  9 Cr 2.77-2.90, 2 Ag 2.96
Ag2 0.3333 0.6667 0.0000  9 Cr 2.78-2.91, 2 Ag 2.96
Ag3 0.6667 0.3333 0.0000  9 Cr 2.78-2.91, 2 Ag 2.96

Output
Its uncorrected energy is -6.405 eV per atom.

---

This record from the Alexandria database describes MgIn2Br2Cl2 after structural relaxation. The functional is GGA-PBE.

a = 3.8416 Å, b = 6.9650 Å, c = 8.5737 Å
α = 66.02°, β = 77.04°, γ = 89.96°
Closest atoms and distances in Å follow each position.
Sites, in units of the cell vectors:
Mg1 0.0000 0.0000 0.0000  4 Cl 2.55, 2 Br 2.75
In1 0.1574 0.6561 0.6864  2 Br 3.12
In2 0.8426 0.3439 0.3136  2 Br 3.12
Br1 0.1808 0.1811 0.6378  1 Mg 2.75
Br2 0.8192 0.8189 0.3622  1 Mg 2.75
Cl1 0.4997 0.2399 0.0001  2 Mg 2.55
Cl2 0.5003 0.7601 0.9999  2 Mg 2.55

Output
The uncorrected formation energy comes out at -7.73 eV/f.u.

---

This record from the Alexandria database describes LaTb3Cd6 after structural relaxation. The functional is GGA-PBE.

a = 5.2488 Å, b = 9.3050 Å, c = 11.3055 Å
α = 106.92°, β = 90.00°, γ = 90.00°
Closest atoms and distances in Å follow each position.
Sites, in units of the cell vectors:
La1 0.2500 0.9405 0.6155  8 Cd 3.21-3.45
La2 0.7500 0.0595 0.3845  8 Cd 3.21-3.45
Tb1 0.2500 0.5236 0.3922  8 Cd 3.12-3.47
Tb2 0.7500 0.4764 0.6078  8 Cd 3.12-3.47
Tb3 0.2500 0.3531 0.8026  8 Cd 3.15-3.36
Tb4 0.7500 0.6469 0.1974  8 Cd 3.15-3.36
Tb5 0.2500 0.7634 0.0031  8 Cd 3.12-3.38
Tb6 0.7500 0.2366 0.9969  8 Cd 3.12-3.38
Cd1 0.2500 0.4505 0.0979  7 Tb 3.19-3.38, 1 Cd 3.35
Cd2 0.7500 0.5495 0.9021  7 Tb 3.19-3.38, 1 Cd 3.35
Cd3 0.2500 0.1459 0.1991  8 Cd 3.11-3.46
Cd4 0.7500 0.8541 0.8009  8 Cd 3.11-3.46
Cd5 0.2500 0.6486 0.7124  5 Tb 3.12-3.47, 1 La 3.21, 2 Cd 3.23
Cd6 0.7500 0.3514 0.2876  5 Tb 3.12-3.47, 1 La 3.21, 2 Cd 3.23
Cd7 0.2500 0.2537 0.5110  4 Tb 3.15-3.33, 3 La 3.27-3.45, 1 Cd 3.37
Cd8 0.7500 0.7463 0.4890  4 Tb 3.15-3.33, 3 La 3.27-3.45, 1 Cd 3.37
Cd9 0.2500 0.8313 0.3036  4 Tb 3.17-3.30, 3 La 3.33-3.37, 1 Cd 3.46
Cd10 0.7500 0.1687 0.6964  4 Tb 3.17-3.30, 3 La 3.33-3.37, 1 Cd 3.46
Cd11 0.2500 0.0540 0.9118  3 Cd 3.11-3.25, 4 Tb 3.12-3.36, 1 La 3.21
Cd12 0.7500 0.9460 0.0882  3 Cd 3.11-3.25, 4 Tb 3.12-3.36, 1 La 3.21

Output
Its uncorrected energy is -2.719 eV per atom.

---

This record from the Alexandria database describes PmSCl after structural relaxation. The functional is GGA-PBE.

a = 6.5542 Å, b = 4.1844 Å, c = 4.1844 Å
α = 120.00°, β = 90.00°, γ = 90.00°
Closest atoms and distances in Å follow each position.
Sites, in units of the cell vectors:
S1 0.5426 0.3333 0.6667  3 Pm 2.72
Cl1 0.1040 0.0000 0.0000  3 Pm 2.92
Pm1 0.3534 0.6667 0.3333  3 S 2.72, 3 Cl 2.92

Output
The uncorrected formation energy comes out at -6.21 eV/f.u. Its polymorph energy (0 for the lowest one) is 0.317 eV/f.u.

---

This record from the Alexandria database describes Tc2TeSe after structural relaxation. The functional is GGA-PBE.

a = 4.5010 Å, b = 3.2643 Å, c = 5.8868 Å
α = 89.98°, β = 90.00°, γ = 90.00°
Closest atoms and distances in Å follow each position.
Sites, in units of the cell vectors:
Se1 0.5000 0.8752 0.8575  4 Tc 2.44-2.55
Tc1 0.0000 0.8750 0.0629  2 Se 2.55, 2 Te 2.64, 4 Tc 2.84
Tc2 0.5000 0.3750 0.1650  2 Se 2.44, 2 Te 2.69
Te1 0.0000 0.3748 0.4146  4 Tc 2.64-2.69

Output
The uncorrected formation energy comes out at 0.13 eV/f.u. Its polymorph energy (0 for the lowest one) is 0.178 eV/f.u.

---

This record from the Alexandria database describes ZnFeP2 after structural relaxation. The functional is GGA-PBE.

a = 3.8677 Å, b = 3.8677 Å, c = 5.0592 Å
α = 81.92°, β = 81.92°, γ = 48.46°
Closest atoms and distances in Å follow each position.
Sites, in units of the cell vectors:
Fe1 0.7500 0.7500 0.7500  6 P 2.30-2.32
P1 0.0276 0.0276 0.9346  3 Fe 2.30-2.32, 1 Zn 2.40, 2 P 2.53
P2 0.4724 0.4724 0.5654  3 Fe 2.30-2.32, 1 Zn 2.40, 2 P 2.53
Zn1 0.2500 0.2500 0.2500  2 P 2.40

Output
Its uncorrected energy is -5.127 eV per atom.

---

This record from the Alexandria database describes Na2CrSi after structural relaxation. The functional is GGA-PBE.

a = 9.9002 Å, b = 9.9002 Å, c = 7.4104 Å
α = 48.09°, β = 48.09°, γ = 90.00°
Closest atoms and distances in Å follow each position.
Sites, in units of the cell vectors:
Cr1 0.0000 0.0000 0.0000  2 Si 2.43
Cr2 0.7500 0.2500 0.5000  2 Si 2.43
Si1 0.5000 0.5000 0.0000  2 Cr 2.43
Si2 0.2500 0.7500 0.5000  2 Cr 2.43
Na1 0.5017 0.1250 0.2500  2 Si 2.84
Na2 0.2483 0.6250 0.2500  2 Si 2.84
Na3 0.3750 0.4983 0.7500  2 Si 2.84
Na4 0.8750 0.7517 0.7500  2 Si 2.84

Output
The uncorrected formation energy comes out at 2.30 eV/f.u.

---

This record from the Alexandria database describes Pr3Nd2Ho2 after structural relaxation. The functional is GGA-PBE.

a = 3.6592 Å, b = 10.9482 Å, c = 6.3076 Å
α = 95.67°, β = 73.27°, γ = 89.99°
Closest atoms and distances in Å follow each position.
Sites, in units of the cell vectors:
Pr1 0.0000 0.0000 0.0000  6 Nd 3.62-3.68, 4 Ho 3.65, 2 Pr 3.66
Pr2 0.8564 0.5706 0.2835  5 Pr 3.61-3.67, 5 Ho 3.63-3.66, 2 Nd 3.65-3.66
Pr3 0.1436 0.4294 0.7165  5 Pr 3.61-3.67, 5 Ho 3.63-3.66, 2 Nd 3.65-3.66
Nd1 0.7167 0.1438 0.5679  5 Pr 3.62-3.68, 3 Ho 3.63-3.65, 4 Nd 3.66
Nd2 0.2833 0.8562 0.4321  5 Pr 3.62-3.68, 3 Ho 3.63-3.65, 4 Nd 3.66
Ho1 0.4285 0.2860 0.1422  3 Nd 3.63-3.65, 7 Pr 3.63-3.66, 2 Ho 3.66
Ho2 0.5715 0.7140 0.8578  3 Nd 3.63-3.65, 7 Pr 3.63-3.66, 2 Ho 3.66

Output
Its uncorrected energy is -4.703 eV per atom.

---

This record from the Alexandria database describes LuAlZnNi after structural relaxation. The functional is GGA-PBE.

a = 4.5051 Å, b = 4.5051 Å, c = 4.5051 Å
α = 60.00°, β = 60.00°, γ = 60.00°
Closest atoms and distances in Å follow each position.
Sites, in units of the cell vectors:
Ni1 0.2500 0.2500 0.2500  4 Al 2.76, 4 Lu 2.76
Zn1 0.7500 0.7500 0.7500  4 Al 2.76, 4 Lu 2.76
Lu1 0.0000 0.0000 0.0000  4 Ni 2.76, 4 Zn 2.76
Al1 0.5000 0.5000 0.5000  4 Zn 2.76, 4 Ni 2.76

Output
Its uncorrected energy is -4.262 eV per atom.

---

This record from the Alexandria database describes Nd3Sm8Y2 after structural relaxation. The functional is GGA-PBE.

a = 5.7741 Å, b = 7.7492 Å, c = 10.9371 Å
α = 110.75°, β = 90.02°, γ = 90.00°
Closest atoms and distances in Å follow each position.
Sites, in units of the cell vectors:
Nd1 0.5000 0.0000 0.0000  4 Sm 3.15
Nd2 0.0000 0.2896 0.0000  1 Nd 3.26, 6 Sm 3.56-3.63
Nd3 0.0000 0.7104 0.0000  1 Nd 3.26, 6 Sm 3.56-3.63
Sm1 0.0005 0.6720 0.3441  2 Y 3.38-3.39, 4 Sm 3.56
Sm2 0.9995 0.3280 0.6559  2 Y 3.38-3.39, 4 Sm 3.56
Sm3 0.9996 0.1349 0.2697  2 Nd 3.56, 2 Y 3.62, 7 Sm 3.71-3.95
Sm4 0.0004 0.8651 0.7303  2 Nd 3.56, 2 Y 3.62, 7 Sm 3.71-3.95
Sm5 0.5000 0.6010 0.7848  1 Nd 3.15, 1 Sm 3.23, 1 Y 3.48
Sm6 0.5000 0.1839 0.7848  1 Nd 3.15, 1 Sm 3.23, 1 Y 3.48
Sm7 0.5000 0.8162 0.2152  1 Nd 3.15, 1 Sm 3.23, 1 Y 3.48
Sm8 0.5000 0.3990 0.2152  1 Nd 3.15, 1 Sm 3.23, 1 Y 3.48
Y1 0.4993 0.2416 0.4831  8 Sm 3.38-3.62
Y2 0.5007 0.7584 0.5169  8 Sm 3.38-3.62

Output
Its polymorph energy (0 for the lowest one) is 0.830 eV/f.u.

---

This record from the Alexandria database describes SrC3 after structural relaxation. The functional is GGA-PBE.

a = 4.0644 Å, b = 4.0644 Å, c = 3.7111 Å
α = 90.00°, β = 90.00°, γ = 114.81°
Closest atoms and distances in Å follow each position.
Sites, in units of the cell vectors:
Sr1 0.0000 0.0000 0.5000  8 C 2.80-2.87
C1 0.5000 0.5000 0.0000  2 C 1.33
C2 0.3063 0.6937 0.0000  1 C 1.33
C3 0.6937 0.3063 0.0000  1 C 1.33

Output
Its polymorph energy (0 for the lowest one) is 0.000 eV/f.u.

---

This record from the Alexandria database describes NdHo2Co after structural relaxation. The functional is GGA-PBE.

a = 3.4010 Å, b = 3.4010 Å, c = 8.9398 Å
α = 90.00°, β = 90.00°, γ = 90.00°
Closest atoms and distances in Å follow each position.
Sites, in units of the cell vectors:
Co1 0.5000 0.5000 0.0000  8 Ho 2.89
Nd1 0.5000 0.5000 0.5000  4 Nd 3.40, 8 Ho 3.75
Ho1 0.0000 0.0000 0.8213  4 Co 2.89, 1 Ho 3.20
Ho2 0.0000 0.0000 0.1787  4 Co 2.89, 1 Ho 3.20

Output
Its polymorph energy (0 for the lowest one) is 0.228 eV/f.u.

---

This record from the Alexandria database describes RuWCl after structural relaxation. The functional is GGA-PBE.

a = 2.9036 Å, b = 2.9036 Å, c = 6.4639 Å
α = 90.00°, β = 90.00°, γ = 120.00°
Closest atoms and distances in Å follow each position.
Sites, in units of the cell vectors:
Cl1 0.0000 0.0000 0.9747  3 W 2.59
Ru1 0.6667 0.3333 0.3559  3 W 2.63, 6 Ru 2.90
W1 0.3333 0.6667 0.6694  3 Cl 2.59, 3 Ru 2.63

Output
The uncorrected formation energy comes out at 0.72 eV/f.u. Its polymorph energy (0 for the lowest one) is 0.000 eV/f.u.

---

This record from the Alexandria database describes LiMgPaZn after structural relaxation. The functional is GGA-PBE.

a = 4.8617 Å, b = 4.8617 Å, c = 4.8617 Å
α = 60.00°, β = 60.00°, γ = 60.00°
Closest atoms and distances in Å follow each position.
Sites, in units of the cell vectors:
Zn1 0.0000 0.0000 0.0000  4 Pa 2.98, 4 Mg 2.98
Pa1 0.7500 0.7500 0.7500  4 Li 2.98, 4 Zn 2.98
Mg1 0.2500 0.2500 0.2500  4 Li 2.98, 4 Zn 2.98
Li1 0.5000 0.5000 0.5000  4 Pa 2.98, 4 Mg 2.98

Output
Its uncorrected energy is -3.362 eV per atom.

---

This record from the Alexandria database describes TcW after structural relaxation. The functional is GGA-PBE.

a = 8.8991 Å, b = 2.6869 Å, c = 5.2382 Å
α = 90.00°, β = 90.00°, γ = 90.00°
Closest atoms and distances in Å follow each position.
Sites, in units of the cell vectors:
Tc1 0.2500 0.2500 0.7500  4 W 2.67, 6 Tc 2.69-2.94
Tc2 0.2500 0.7500 0.2500  4 W 2.67, 6 Tc 2.69-2.94
Tc3 0.7500 0.2500 0.2500  4 W 2.67, 6 Tc 2.69-2.94
Tc4 0.7500 0.7500 0.7500  4 W 2.67, 6 Tc 2.69-2.94
W1 0.0000 0.0000 0.0000  4 Tc 2.67, 6 W 2.69-2.94
W2 0.0000 0.5000 0.5000  4 Tc 2.67, 6 W 2.69-2.94
W3 0.5000 0.0000 0.5000  4 Tc 2.67, 6 W 2.69-2.94
W4 0.5000 0.5000 0.0000  4 Tc 2.67, 6 W 2.69-2.94

Output
Its polymorph energy (0 for the lowest one) is 0.301 eV/f.u.

---

This record from the Alexandria database describes ZrGeSbTe2 after structural relaxation. The functional is GGA-PBE.

a = 5.2757 Å, b = 5.2757 Å, c = 5.2615 Å
α = 90.00°, β = 90.00°, γ = 90.00°
Closest atoms and distances in Å follow each position.
Sites, in units of the cell vectors:
Sb1 0.0000 0.0000 0.5000  2 Ge 2.63
Ge1 0.0000 0.0000 0.0000  2 Sb 2.63, 4 Te 2.64
Te1 0.0000 0.5000 0.0000  2 Ge 2.64
Te2 0.5000 0.0000 0.0000  2 Ge 2.64
Zr1 0.5000 0.5000 0.5000  8 Te 3.73, 4 Sb 3.73

Output
The uncorrected formation energy comes out at 2.78 eV/f.u. Its polymorph energy (0 for the lowest one) is 1.396 eV/f.u.

---

This record from the Alexandria database describes CaPm2Mg after structural relaxation. The functional is GGA-PBE.

a = 5.6765 Å, b = 5.6765 Å, c = 5.6765 Å
α = 60.00°, β = 60.00°, γ = 60.00°
Closest atoms and distances in Å follow each position.
Sites, in units of the cell vectors:
Ca1 0.0000 0.0000 0.0000  8 Pm 3.48
Mg1 0.5000 0.5000 0.5000  8 Pm 3.48
Pm1 0.2500 0.2500 0.2500  4 Mg 3.48, 4 Ca 3.48
Pm2 0.7500 0.7500 0.7500  4 Mg 3.48, 4 Ca 3.48

Output
Its polymorph energy (0 for the lowest one) is 0.139 eV/f.u.

---

This record from the Alexandria database describes Ge3SeN after structural relaxation. The functional is GGA-PBE.

a = 4.5188 Å, b = 4.5188 Å, c = 4.5188 Å
α = 90.00°, β = 90.00°, γ = 90.00°
Closest atoms and distances in Å follow each position.
Sites, in units of the cell vectors:
Ge1 0.0000 0.5000 0.0000  2 N 2.26
Ge2 0.0000 0.0000 0.5000  2 N 2.26
Ge3 0.5000 0.0000 0.0000  2 N 2.26
Se1 0.5000 0.5000 0.5000  12 Ge 3.20
N1 0.0000 0.0000 0.0000  6 Ge 2.26

Output
The uncorrected formation energy comes out at 2.98 eV/f.u. Its polymorph energy (0 for the lowest one) is 0.000 eV/f.u.